Here is a geometry-optimized Tb2PmRu2 structure from the Alexandria database. Energies are from PBE.

Results
Total magnetic moment: 0.0 μB/cell
Energy relative to the elements: -0.16 eV/atom
Total energy: -6.67 eV/atom

a = 5.379 Å, b = 4.368 Å, c = 11.078 Å
α = 90.00°, β = 97.40°, γ = 90.00°
Space group P2_1/m (No. 11)
One atom of each set of equivalent atoms:
Tb  0.067  0.250  0.376
Tb  0.248  0.250  0.025
Pm  0.445  0.250  0.735
Ru  0.228  0.750  0.861
Ru  0.408  0.750  0.514